# LaN

A relaxed structure of LaN (PBE, Alexandria via LeMat-Bulk).

Properties
- V (Å³/atom) = 26.740
- raw formation energy (meV/atom) = -1170
- uncorrected energy (eV/atom) = -7.7969

CIF file:
```
data_LaN
_cell_length_a 10.2520
_cell_length_b 10.2520
_cell_length_c 4.0706
_cell_angle_alpha 90.00
_cell_angle_beta 90.00
_cell_angle_gamma 90.00
_space_group_name_H-M_alt 'I 4/m'
_space_group_IT_number 87
_space_group_name_Hall '-I 4'
loop_
_atom_site_label
_atom_site_type_symbol
_atom_site_fract_x
_atom_site_fract_y
_atom_site_fract_z
La1 La 0.1104 0.2861 0.0000
N1 N 0.1322 0.7046 0.0000
```

***

# TmPaGe

A relaxed structure of TmPaGe (PBE, Alexandria via LeMat-Bulk).

Properties
- formation energy (eV/atom) = 0.102
- V (Å³/atom) = 29.894
- uncorrected energy (eV/atom) = -6.0932
- density of states at the Fermi level (states/eV/f.u.) = 5.89
- offset from the most stable computed form (meV per atom) = 625

CIF file:
```
data_TmPaGe
_cell_length_a 9.3894
_cell_length_b 9.7478
_cell_length_c 3.9194
_cell_angle_alpha 90.00
_cell_angle_beta 90.00
_cell_angle_gamma 90.00
_space_group_name_H-M_alt 'C m m m'
_space_group_IT_number 65
_space_group_name_Hall '-C 2 2'
loop_
_atom_site_label
_atom_site_type_symbol
_atom_site_fract_x
_atom_site_fract_y
_atom_site_fract_z
Tm1 Tm 0.2084 0.0000 0.0000
Pa1 Pa 0.0000 0.2891 0.5000
Ge1 Ge 0.0000 0.0000 0.5000
Ge2 Ge 0.0000 0.5000 0.0000
```

***

# Y2IrSe

A relaxed structure of Y2IrSe (PBE, Alexandria via LeMat-Bulk).

Properties
- V (Å³/atom) = 21.699
- raw formation energy (meV/atom) = -1017
- uncorrected energy (eV/atom) = -7.3351
- density of states at the Fermi level (states/eV/f.u.) = 2.62

CIF file:
```
data_Y2IrSe
_cell_length_a 7.1261
_cell_length_b 7.1342
_cell_length_c 3.4146
_cell_angle_alpha 90.00
_cell_angle_beta 90.00
_cell_angle_gamma 90.00
_space_group_name_H-M_alt 'C m m m'
_space_group_IT_number 65
_space_group_name_Hall '-C 2 2'
loop_
_atom_site_label
_atom_site_type_symbol
_atom_site_fract_x
_atom_site_fract_y
_atom_site_fract_z
Y1 Y 0.2500 0.2500 0.0000
Ir1 Ir 0.0000 0.0000 0.5000
Se1 Se 0.0000 0.5000 0.5000
```